Pa2CuPt9: optimized geometry, PBE.

CIF file:
```
data_Pa2CuPt9
_chemical_formula_sum 'Pa2 Cu1 Pt9'
_cell_length_a 4.151
_cell_length_b 4.151
_cell_length_c 11.953
_cell_angle_alpha 90.00
_cell_angle_beta 90.00
_cell_angle_gamma 90.00
_space_group_name_H-M_alt 'P 4/m m m'
_space_group_IT_number 123
_space_group_name_Hall '-P 4 2'
loop_
_atom_site_label
_atom_site_fract_x
_atom_site_fract_y
_atom_site_fract_z
Pa1 0.000 0.000 0.181
Cu1 0.000 0.000 0.500
Pt1 0.000 0.500 0.000
Pt2 0.000 0.500 0.343
Pt3 0.500 0.500 0.171
Pt4 0.500 0.500 0.500
```

Computed properties:
ρ ... 18.39 g/cm³
Calculated total energy ... -7.22 eV/atom


PaCuPt4: optimized geometry, PBE.

CIF file:
```
data_PaCuPt4
_chemical_formula_sum 'Pa1 Cu1 Pt4'
_cell_length_a 3.958
_cell_length_b 3.958
_cell_length_c 7.379
_cell_angle_alpha 90.00
_cell_angle_beta 90.00
_cell_angle_gamma 90.00
_space_group_name_H-M_alt 'P 4/m m m'
_space_group_IT_number 123
_space_group_name_Hall '-P 4 2'
loop_
_atom_site_label
_atom_site_fract_x
_atom_site_fract_y
_atom_site_fract_z
Pa1 0.000 0.000 0.000
Cu1 0.500 0.500 0.500
Pt1 0.000 0.500 0.270
```

Computed properties:
Relative energy among the computed polymorphs ... 2.97 kcal/mol of atoms
ρ ... 15.44 g/cm³
Calculated total energy ... -6.85 eV/atom


PaCuPt: optimized geometry, PBE.

CIF file:
```
data_PaCuPt
_chemical_formula_sum 'Pa1 Cu1 Pt1'
_cell_length_a 4.4551
_cell_length_b 4.4551
_cell_length_c 3.2650
_cell_angle_alpha 90.00
_cell_angle_beta 90.00
_cell_angle_gamma 120.00
_space_group_name_H-M_alt 'P -6 m 2'
_space_group_IT_number 187
_space_group_name_Hall 'P -6 2'
loop_
_atom_site_label
_atom_site_fract_x
_atom_site_fract_y
_atom_site_fract_z
Pa1 0.0000 0.0000 0.0000
Cu1 0.6667 0.3333 0.5000
Pt1 0.3333 0.6667 0.5000
```

Computed properties:
Relative energy among the computed polymorphs ... 0.83 kcal/mol of atoms
ρ ... 14.49 g/cm³
Calculated total energy ... -7.14 eV/atom


PaCu2Pt8: optimized geometry, PBE.

CIF file:
```
data_PaCu2Pt8
_chemical_formula_sum 'Pa2 Cu4 Pt16'
_cell_length_a 4.085
_cell_length_b 7.124
_cell_length_c 12.536
_cell_angle_alpha 90.00
_cell_angle_beta 90.00
_cell_angle_gamma 90.00
_space_group_name_H-M_alt 'I m m m'
_space_group_IT_number 71
_space_group_name_Hall '-I 2 2'
loop_
_atom_site_label
_atom_site_fract_x
_atom_site_fract_y
_atom_site_fract_z
Pa1 0.000 0.000 0.000
Cu1 0.000 0.000 0.319
Pt1 0.000 0.202 0.500
Pt2 0.000 0.274 0.164
Pt3 0.000 0.500 0.343
```

Computed properties:
ρ ... 17.47 g/cm³
Calculated total energy ... -6.39 eV/atom


| no. | energy of formation from the pure elements (meV/atom) |
| --- | --- |
| 1 | -763 |
| 2 | -560 |
| 3 | -599 |
| 4 | -391 |